Entry 1:
## Fe2Co2Rh (PBE)

Data for crystalline Fe2Co2Rh at its relaxed geometry.

a b c (Å): 2.5625 4.1051 6.2446
angles (deg): 109.19 101.84 90.00
Fractional positions:
Co: 0.2897 0.7897 0.5794
Co: 0.7103 0.2103 0.4206
Rh: 0.0000 0.0000 0.0000
Fe: 0.3948 0.3948 0.7895
Fe: 0.6052 0.6052 0.2105

Summary:
**Magnetization**: 9.0 μB per cell
**Calculated volume**: 12.11 Å³/atom
**Calculated formation energy**: 0.090 eV per atom
**Symmetry**: Immm, No. 71

Entry 2:
## Fe2CoRh8 (PBE)

Data for crystalline Fe2CoRh8 at its relaxed geometry.

a b c (Å): 3.8090 5.9984 7.0693
angles (deg): 105.00 105.63 90.00
Fractional positions:
Rh: 0.1381 0.1867 0.2763
Rh: 0.4055 0.5465 0.8110
Rh: 0.0448 0.7309 0.0897
Rh: 0.3191 0.0910 0.6382
Rh: 0.5945 0.4535 0.1890
Rh: 0.9552 0.2691 0.9103
Rh: 0.8619 0.8133 0.7237
Rh: 0.6809 0.9090 0.3618
Co: 0.5000 0.0000 0.0000
Fe: 0.7732 0.3603 0.5464
Fe: 0.2268 0.6397 0.4536

Summary:
**Magnetization**: 8.7 μB per cell
**Calculated volume**: 13.62 Å³/atom
**Calculated formation energy**: 0.007 eV per atom
**Symmetry**: C2/m, No. 12

Entry 3:
## Fe6CoRh (PBE)

Data for crystalline Fe6CoRh at its relaxed geometry.

a b c (Å): 4.0964 5.0319 5.0319
angles (deg): 109.77 90.00 90.00
Fractional positions:
Fe: 0.0000 0.7608 0.7608
Fe: 0.5000 0.5000 0.0000
Fe: 0.5000 0.0000 0.5000
Fe: 0.0000 0.7491 0.2509
Fe: 0.0000 0.2509 0.7491
Fe: 0.0000 0.2392 0.2392
Rh: 0.5000 0.5000 0.5000
Co: 0.5000 0.0000 0.0000

Summary:
**Magnetization**: 18.7 μB per cell
**Calculated volume**: 12.20 Å³/atom
**Calculated formation energy**: -0.026 eV per atom
**Symmetry**: Cmmm, No. 65

Entry 4:
## Fe2CoRh (PBE)

Data for crystalline Fe2CoRh at its relaxed geometry.

a b c (Å): 3.5066 3.5066 8.7833
angles (deg): 78.49 78.49 90.00
Fractional positions:
Fe: 0.8750 0.8542 0.7500
Fe: 0.6042 0.1250 0.2500
Fe: 0.3750 0.3958 0.7500
Fe: 0.1458 0.6250 0.2500
Rh: 0.7500 0.2500 0.5000
Rh: 0.0000 0.0000 0.0000
Co: 0.5000 0.5000 0.0000
Co: 0.2500 0.7500 0.5000

Summary:
**Magnetization**: 8.7 μB per cell
**Calculated volume**: 12.95 Å³/atom
**Calculated formation energy**: 0.538 eV per atom
**Symmetry**: I-42d, No. 122

Entry 5:
## FeCoRh4 (PBE)

Data for crystalline FeCoRh4 at its relaxed geometry.

a b c (Å): 7.1373 5.1168 5.1207
angles (deg): 117.19 90.00 90.00
Fractional positions:
Rh: 0.3108 0.7487 0.7513
Rh: 0.8108 0.7513 0.2487
Rh: 0.6892 0.7488 0.7514
Rh: 0.1892 0.2487 0.7513
Rh: 0.8108 0.2488 0.7514
Rh: 0.3108 0.2512 0.2486
Rh: 0.1892 0.7512 0.2486
Rh: 0.6892 0.2513 0.2487
Fe: 0.0000 0.5000 0.5000
Fe: 0.5000 0.0000 0.5000
Co: 0.5000 0.5000 0.0000
Co: 0.0000 0.0000 0.0000

Summary:
**Magnetization**: 8.7 μB per cell
**Calculated volume**: 13.86 Å³/atom
**Calculated formation energy**: 0.161 eV per atom
**Symmetry**: C2/m, No. 12

Entry 6:
## FeCo4Rh15 (PBE)

Data for crystalline FeCo4Rh15 at its relaxed geometry.

a b c (Å): 3.7877 3.7877 18.8208
angles (deg): 90.00 90.00 90.00
Fractional positions:
Rh: 0.5000 0.5000 0.1991
Rh: 0.5000 0.0000 0.5000
Rh: 0.5000 0.5000 0.6003
Rh: 0.5000 0.5000 0.8009
Rh: 0.0000 0.5000 0.7007
Rh: 0.5000 0.0000 0.9015
Rh: 0.5000 0.5000 0.0000
Rh: 0.0000 0.5000 0.0985
Rh: 0.0000 0.5000 0.2993
Rh: 0.5000 0.0000 0.7007
Rh: 0.5000 0.5000 0.3997
Rh: 0.5000 0.0000 0.0985
Rh: 0.0000 0.5000 0.9015
Rh: 0.0000 0.5000 0.5000
Rh: 0.5000 0.0000 0.2993
Co: 0.0000 0.0000 0.3996
Co: 0.0000 0.0000 0.8007
Co: 0.0000 0.0000 0.6004
Co: 0.0000 0.0000 0.1993
Fe: 0.0000 0.0000 0.0000

Summary:
**Magnetization**: 12.2 μB per cell
**Calculated volume**: 13.50 Å³/atom
**Calculated formation energy**: 0.056 eV per atom
**Symmetry**: P4/mmm, No. 123